(1)
DFT (PBE) results for a relaxed Er2TmHg6 crystal.

```
18
Lattice="-1.121 -1.709 -4.996 -8.674 -2.652 1.516 -4.740 7.369 -2.793" Properties=species:S:1:pos:R:3 pbc="T T T"
Tm -5.513 5.686 -3.503
Tm -9.022 -2.679 -2.771
Er -5.619 -0.683 -2.800
Er -8.916 3.690 -3.473
Er -4.071 2.687 -1.384
Er -10.464 0.321 -4.889
Hg -11.340 1.799 -2.262
Hg -7.037 -2.444 -0.401
Hg -6.489 0.788 -0.171
Hg -7.497 5.452 -5.873
Hg -3.619 -0.445 -0.434
Hg -9.888 -1.213 -0.141
Hg -6.061 2.451 -3.752
Hg -8.474 0.556 -2.522
Hg -3.195 1.208 -4.011
Hg -8.046 2.220 -6.103
Hg -4.646 4.221 -6.132
Hg -10.916 3.453 -5.839
```

Results
DOS at the Fermi energy = 7.7 states/eV per cell
E = -37.62 eV per cell
calculated formation energy = -3.4 eV per formula unit
symmetry = C2/c, No. 15


(2)
DFT (PBE) results for a relaxed CoNi2Mo crystal.

```
4
Lattice="-2.483 3.598 0.823 -2.572 2.117 2.947 3.064 2.593 1.935" Properties=species:S:1:pos:R:3 pbc="T T T"
Mo -1.506 6.224 4.274
Ni -5.009 5.719 3.775
Ni -0.491 2.060 1.415
Co -1.037 4.174 2.865
```

Results
DOS at the Fermi energy = 4.8 states/eV per cell
E = -29.27 eV per cell
excess energy over the best structure of this formula in the dataset = 108.1 meV per atom
calculated formation energy = 0.2 eV per formula unit
symmetry = Cm, No. 8


What did the second record say?
DFT (PBE) results for a relaxed CoNi2Mo crystal.

```
4
Lattice="-2.483 3.598 0.823 -2.572 2.117 2.947 3.064 2.593 1.935" Properties=species:S:1:pos:R:3 pbc="T T T"
Mo -1.506 6.224 4.274
Ni -5.009 5.719 3.775
Ni -0.491 2.060 1.415
Co -1.037 4.174 2.865
```

Results
DOS at the Fermi energy = 4.8 states/eV per cell
E = -29.27 eV per cell
excess energy over the best structure of this formula in the dataset = 108.1 meV per atom
calculated formation energy = 0.2 eV per formula unit
symmetry = Cm, No. 8


Copy entry 1 word for word.
DFT (PBE) results for a relaxed Er2TmHg6 crystal.

```
18
Lattice="-1.121 -1.709 -4.996 -8.674 -2.652 1.516 -4.740 7.369 -2.793" Properties=species:S:1:pos:R:3 pbc="T T T"
Tm -5.513 5.686 -3.503
Tm -9.022 -2.679 -2.771
Er -5.619 -0.683 -2.800
Er -8.916 3.690 -3.473
Er -4.071 2.687 -1.384
Er -10.464 0.321 -4.889
Hg -11.340 1.799 -2.262
Hg -7.037 -2.444 -0.401
Hg -6.489 0.788 -0.171
Hg -7.497 5.452 -5.873
Hg -3.619 -0.445 -0.434
Hg -9.888 -1.213 -0.141
Hg -6.061 2.451 -3.752
Hg -8.474 0.556 -2.522
Hg -3.195 1.208 -4.011
Hg -8.046 2.220 -6.103
Hg -4.646 4.221 -6.132
Hg -10.916 3.453 -5.839
```

Results
DOS at the Fermi energy = 7.7 states/eV per cell
E = -37.62 eV per cell
calculated formation energy = -3.4 eV per formula unit
symmetry = C2/c, No. 15


Question: Look up the calculated formation energy of the second one.
Answer: 0.2 eV per formula unit


Question: What is the E in the second record?
Answer: -29.27 eV per cell